1.
The following is a DFT calculation (PBE) of a relaxed structure of MgCoCl2.

abc: 6.2332 6.2332 6.2332
angles: 146.49 146.49 48.12
Fractional positions:
Co: 0.5000 0.5000 0.0000
Cl: 0.2500 0.7500 0.5000
Cl: 0.0000 0.0000 0.0000
Mg: 0.7500 0.2500 0.5000

Calculated values
E above lowest polymorph ... 1.81 eV per formula unit
Crystal system ... tetragonal


2.
The following is a DFT calculation (PBE) of a relaxed structure of MgCoCl.

abc: 3.2522 3.2522 5.6159
angles: 90.00 90.00 120.00
Fractional positions:
Cl: 0.0000 0.0000 0.0206
Mg: 0.3333 0.6667 0.6590
Co: 0.6667 0.3333 0.3204

Calculated values
E above lowest polymorph ... 1.66 eV per formula unit
Crystal system ... trigonal


3.
The following is a DFT calculation (PBE) of a relaxed structure of Mg4CoCl.

abc: 5.7124 5.7124 5.7124
angles: 60.00 60.00 60.00
Fractional positions:
Cl: 0.7500 0.7500 0.7500
Mg: 0.3738 0.8786 0.3738
Mg: 0.3738 0.3738 0.3738
Co: 0.0000 0.0000 0.0000
Mg: 0.3738 0.3738 0.8786
Mg: 0.8786 0.3738 0.3738

Calculated values
Crystal system ... cubic


Number 1: formation energy without anion corrections -0.1683 eV/atom, final energy -3.267 eV/atom. Number 2: formation energy without anion corrections -0.1015 eV/atom, final energy -3.617 eV/atom. Number 3: formation energy without anion corrections 0.3761 eV/atom, final energy -2.179 eV/atom.